# GGA-PBE Ac2Nd5Ho6, optimized geometry
# Energy relative to the elements = 1.4 eV per formula unit
data_Ac2Nd5Ho6
_chemical_formula_sum 'Ac4 Nd10 Ho12'
_cell_length_a 11.998
_cell_length_b 20.708
_cell_length_c 3.671
_cell_angle_alpha 90.00
_cell_angle_beta 90.00
_cell_angle_gamma 90.00
_space_group_name_H-M_alt 'P 1'
_space_group_IT_number 1
loop_
_space_group_symop_operation_xyz
'x,y,z'
loop_
_atom_site_label
_atom_site_type_symbol
_atom_site_fract_x
_atom_site_fract_y
_atom_site_fract_z
_atom_site_occupancy
Ac1 Ac 0.167 0.224 0.000 1
Ac2 Ac 0.333 0.724 0.000 1
Ac3 Ac 0.667 0.276 0.000 1
Ac4 Ac 0.833 0.776 0.000 1
Nd1 Nd 0.000 0.500 0.500 1
Nd2 Nd 0.093 0.785 0.500 1
Nd3 Nd 0.201 0.054 0.500 1
Nd4 Nd 0.299 0.554 0.500 1
Nd5 Nd 0.407 0.285 0.500 1
Nd6 Nd 0.500 0.000 0.500 1
Nd7 Nd 0.593 0.715 0.500 1
Nd8 Nd 0.701 0.446 0.500 1
Nd9 Nd 0.799 0.946 0.500 1
Nd10 Nd 0.907 0.215 0.500 1
Ho1 Ho 0.062 0.927 0.000 1
Ho2 Ho 0.070 0.639 0.000 1
Ho3 Ho 0.184 0.380 0.500 1
Ho4 Ho 0.316 0.880 0.500 1
Ho5 Ho 0.430 0.139 0.000 1
Ho6 Ho 0.438 0.427 0.000 1
Ho7 Ho 0.562 0.573 0.000 1
Ho8 Ho 0.570 0.861 0.000 1
Ho9 Ho 0.684 0.120 0.500 1
Ho10 Ho 0.816 0.620 0.500 1
Ho11 Ho 0.930 0.361 0.000 1
Ho12 Ho 0.938 0.073 0.000 1



# GGA-PBE TmOsPbO6, optimized geometry
# Formation energy without anion corrections = -1.635 eV per atom
data_TmOsPbO6
_chemical_formula_sum 'Tm2 Os2 Pb2 O12'
_cell_length_a 7.052
_cell_length_b 7.052
_cell_length_c 7.052
_cell_angle_alpha 120.33
_cell_angle_beta 118.17
_cell_angle_gamma 91.32
_space_group_name_H-M_alt 'P 1'
_space_group_IT_number 1
loop_
_space_group_symop_operation_xyz
'x,y,z'
loop_
_atom_site_label
_atom_site_type_symbol
_atom_site_fract_x
_atom_site_fract_y
_atom_site_fract_z
_atom_site_occupancy
Tm1 Tm 0.500 0.000 0.000 1
Tm2 Tm 0.500 0.500 0.500 1
Os1 Os 0.000 0.000 0.000 1
Os2 Os 0.500 0.000 0.500 1
Pb1 Pb 0.132 0.382 0.750 1
Pb2 Pb 0.868 0.618 0.250 1
O1 O 0.082 0.317 0.145 1
O2 O 0.082 0.937 0.765 1
O3 O 0.327 0.063 0.645 1
O4 O 0.327 0.683 0.265 1
O5 O 0.334 0.084 0.250 1
O6 O 0.368 0.618 0.750 1
O7 O 0.632 0.382 0.250 1
O8 O 0.666 0.916 0.750 1
O9 O 0.673 0.317 0.735 1
O10 O 0.673 0.937 0.355 1
O11 O 0.918 0.063 0.235 1
O12 O 0.918 0.683 0.855 1



# GGA-PBE Li4PrHg, optimized geometry
# Energy relative to the elements = -0.7 eV per formula unit
data_Li4PrHg
_chemical_formula_sum 'Li4 Pr1 Hg1'
_cell_length_a 5.547
_cell_length_b 5.547
_cell_length_c 5.547
_cell_angle_alpha 60.00
_cell_angle_beta 60.00
_cell_angle_gamma 60.00
_space_group_name_H-M_alt 'P 1'
_space_group_IT_number 1
loop_
_space_group_symop_operation_xyz
'x,y,z'
loop_
_atom_site_label
_atom_site_type_symbol
_atom_site_fract_x
_atom_site_fract_y
_atom_site_fract_z
_atom_site_occupancy
Li1 Li 0.377 0.377 0.377 1
Li2 Li 0.377 0.377 0.868 1
Li3 Li 0.377 0.868 0.377 1
Li4 Li 0.868 0.377 0.377 1
Pr1 Pr 0.000 0.000 0.000 1
Hg1 Hg 0.750 0.750 0.750 1



# GGA-PBE LiIn2Ag, optimized geometry
# Energy relative to the elements = -0.6 eV per formula unit
data_LiIn2Ag
_chemical_formula_sum 'Li2 In4 Ag2'
_cell_length_a 6.354
_cell_length_b 6.062
_cell_length_c 6.061
_cell_angle_alpha 63.22
_cell_angle_beta 58.40
_cell_angle_gamma 58.38
_space_group_name_H-M_alt 'P 1'
_space_group_IT_number 1
loop_
_space_group_symop_operation_xyz
'x,y,z'
loop_
_atom_site_label
_atom_site_type_symbol
_atom_site_fract_x
_atom_site_fract_y
_atom_site_fract_z
_atom_site_occupancy
Li1 Li 0.248 0.248 0.752 1
Li2 Li 0.752 0.752 0.248 1
In1 In 0.250 0.250 0.250 1
In2 In 0.252 0.748 0.748 1
In3 In 0.748 0.252 0.252 1
In4 In 0.750 0.750 0.750 1
Ag1 Ag 0.249 0.751 0.249 1
Ag2 Ag 0.751 0.249 0.751 1



# GGA-PBE UNbI2, optimized geometry
# Formation energy without anion corrections = 0.390 eV per atom
data_UNbI2
_chemical_formula_sum 'U3 Nb3 I6'
_cell_length_a 3.453
_cell_length_b 3.453
_cell_length_c 31.098
_cell_angle_alpha 90.00
_cell_angle_beta 90.00
_cell_angle_gamma 120.00
_space_group_name_H-M_alt 'P 1'
_space_group_IT_number 1
loop_
_space_group_symop_operation_xyz
'x,y,z'
loop_
_atom_site_label
_atom_site_type_symbol
_atom_site_fract_x
_atom_site_fract_y
_atom_site_fract_z
_atom_site_occupancy
U1 U 0.000 0.000 0.000 1
U2 U 0.333 0.667 0.667 1
U3 U 0.667 0.333 0.333 1
Nb1 Nb 0.000 0.000 0.500 1
Nb2 Nb 0.333 0.667 0.167 1
Nb3 Nb 0.667 0.333 0.833 1
I1 I 0.000 0.000 0.101 1
I2 I 0.000 0.000 0.899 1
I3 I 0.333 0.667 0.566 1
I4 I 0.333 0.667 0.768 1
I5 I 0.667 0.333 0.232 1
I6 I 0.667 0.333 0.434 1



# GGA-PBE Rb7Na2, optimized geometry
# Energy relative to the elements = 0.4 eV per formula unit
data_Rb7Na2
_chemical_formula_sum 'Rb7 Na2'
_cell_length_a 8.386
_cell_length_b 8.386
_cell_length_c 11.488
_cell_angle_alpha 90.00
_cell_angle_beta 90.00
_cell_angle_gamma 120.00
_space_group_name_H-M_alt 'P 1'
_space_group_IT_number 1
loop_
_space_group_symop_operation_xyz
'x,y,z'
loop_
_atom_site_label
_atom_site_type_symbol
_atom_site_fract_x
_atom_site_fract_y
_atom_site_fract_z
_atom_site_occupancy
Rb1 Rb 0.000 0.000 0.000 1
Rb2 Rb 0.000 0.345 0.684 1
Rb3 Rb 0.000 0.655 0.316 1
Rb4 Rb 0.345 0.000 0.684 1
Rb5 Rb 0.345 0.345 0.316 1
Rb6 Rb 0.655 0.000 0.316 1
Rb7 Rb 0.655 0.655 0.684 1
Na1 Na 0.333 0.667 0.000 1
Na2 Na 0.667 0.333 0.000 1



# GGA-PBE TbNb6Sn6, optimized geometry
# Energy relative to the lowest polymorph listed for this composition = 0 meV/atom
# Energy relative to the elements = -4.3 eV per formula unit
data_TbNb6Sn6
_chemical_formula_sum 'Tb1 Nb6 Sn6'
_cell_length_a 5.798
_cell_length_b 5.798
_cell_length_c 9.661
_cell_angle_alpha 90.00
_cell_angle_beta 90.00
_cell_angle_gamma 120.00
_space_group_name_H-M_alt 'P 1'
_space_group_IT_number 1
loop_
_space_group_symop_operation_xyz
'x,y,z'
loop_
_atom_site_label
_atom_site_type_symbol
_atom_site_fract_x
_atom_site_fract_y
_atom_site_fract_z
_atom_site_occupancy
Tb1 Tb 0.000 0.000 0.000 1
Nb1 Nb 0.000 0.500 0.249 1
Nb2 Nb 0.000 0.500 0.751 1
Nb3 Nb 0.500 0.000 0.249 1
Nb4 Nb 0.500 0.000 0.751 1
Nb5 Nb 0.500 0.500 0.249 1
Nb6 Nb 0.500 0.500 0.751 1
Sn1 Sn 0.000 0.000 0.324 1
Sn2 Sn 0.000 0.000 0.676 1
Sn3 Sn 0.333 0.667 0.000 1
Sn4 Sn 0.333 0.667 0.500 1
Sn5 Sn 0.667 0.333 0.000 1
Sn6 Sn 0.667 0.333 0.500 1



# GGA-PBE LaZn3Sn, optimized geometry
# Energy relative to the lowest polymorph listed for this composition = 652 meV/atom
# Energy relative to the elements = 4.4 eV per formula unit
data_LaZn3Sn
_chemical_formula_sum 'La1 Zn3 Sn1'
_cell_length_a 5.582
_cell_length_b 5.582
_cell_length_c 5.582
_cell_angle_alpha 90.00
_cell_angle_beta 90.00
_cell_angle_gamma 90.00
_space_group_name_H-M_alt 'P 1'
_space_group_IT_number 1
loop_
_space_group_symop_operation_xyz
'x,y,z'
loop_
_atom_site_label
_atom_site_type_symbol
_atom_site_fract_x
_atom_site_fract_y
_atom_site_fract_z
_atom_site_occupancy
La1 La 0.000 0.000 0.000 1
Zn1 Zn 0.000 0.000 0.500 1
Zn2 Zn 0.000 0.500 0.000 1
Zn3 Zn 0.500 0.000 0.000 1
Sn1 Sn 0.500 0.500 0.500 1



# GGA-PBE LiInSb, optimized geometry
# Formation energy without anion corrections = -0.223 eV per atom
# Energy relative to the lowest polymorph listed for this composition = 60 meV/atom
data_LiInSb
_chemical_formula_sum 'Li4 In4 Sb4'
_cell_length_a 6.587
_cell_length_b 6.587
_cell_length_c 6.587
_cell_angle_alpha 90.00
_cell_angle_beta 90.00
_cell_angle_gamma 90.00
_space_group_name_H-M_alt 'P 1'
_space_group_IT_number 1
loop_
_space_group_symop_operation_xyz
'x,y,z'
loop_
_atom_site_label
_atom_site_type_symbol
_atom_site_fract_x
_atom_site_fract_y
_atom_site_fract_z
_atom_site_occupancy
Li1 Li 0.000 0.000 0.000 1
Li2 Li 0.000 0.500 0.500 1
Li3 Li 0.500 0.000 0.500 1
Li4 Li 0.500 0.500 0.000 1
In1 In 0.250 0.250 0.750 1
In2 In 0.250 0.750 0.250 1
In3 In 0.750 0.250 0.250 1
In4 In 0.750 0.750 0.750 1
Sb1 Sb 0.250 0.250 0.250 1
Sb2 Sb 0.250 0.750 0.750 1
Sb3 Sb 0.750 0.250 0.750 1
Sb4 Sb 0.750 0.750 0.250 1



# GGA-PBE K2CuBr, optimized geometry
# Formation energy without anion corrections = -0.583 eV per atom
# Energy relative to the lowest polymorph listed for this composition = 18 meV/atom
data_K2CuBr
_chemical_formula_sum 'K2 Cu1 Br1'
_cell_length_a 4.010
_cell_length_b 4.016
_cell_length_c 8.122
_cell_angle_alpha 90.00
_cell_angle_beta 90.10
_cell_angle_gamma 90.00
_space_group_name_H-M_alt 'P 1'
_space_group_IT_number 1
loop_
_space_group_symop_operation_xyz
'x,y,z'
loop_
_atom_site_label
_atom_site_type_symbol
_atom_site_fract_x
_atom_site_fract_y
_atom_site_fract_z
_atom_site_occupancy
K1 K 0.002 0.000 0.256 1
K2 K 0.998 0.000 0.744 1
Cu1 Cu 0.500 0.500 0.000 1
Br1 Br 0.500 0.500 0.500 1



# GGA-PBE GaPb2S, optimized geometry
# Formation energy without anion corrections = 0.076 eV per atom
# Energy relative to the lowest polymorph listed for this composition = 5 meV/atom
data_GaPb2S
_chemical_formula_sum 'Ga4 Pb8 S4'
_cell_length_a 7.341
_cell_length_b 7.341
_cell_length_c 7.341
_cell_angle_alpha 90.00
_cell_angle_beta 90.00
_cell_angle_gamma 90.00
_space_group_name_H-M_alt 'P 1'
_space_group_IT_number 1
loop_
_space_group_symop_operation_xyz
'x,y,z'
loop_
_atom_site_label
_atom_site_type_symbol
_atom_site_fract_x
_atom_site_fract_y
_atom_site_fract_z
_atom_site_occupancy
Ga1 Ga 0.000 0.000 0.000 1
Ga2 Ga 0.000 0.500 0.500 1
Ga3 Ga 0.500 0.000 0.500 1
Ga4 Ga 0.500 0.500 0.000 1
Pb1 Pb 0.250 0.250 0.250 1
Pb2 Pb 0.250 0.250 0.750 1
Pb3 Pb 0.250 0.750 0.250 1
Pb4 Pb 0.250 0.750 0.750 1
Pb5 Pb 0.750 0.250 0.250 1
Pb6 Pb 0.750 0.250 0.750 1
Pb7 Pb 0.750 0.750 0.250 1
Pb8 Pb 0.750 0.750 0.750 1
S1 S 0.000 0.000 0.500 1
S2 S 0.000 0.500 0.000 1
S3 S 0.500 0.000 0.000 1
S4 S 0.500 0.500 0.500 1



# GGA-PBE CaPdCl5, optimized geometry
# Formation energy without anion corrections = -1.231 eV per atom
data_CaPdCl5
_chemical_formula_sum 'Ca2 Pd2 Cl10'
_cell_length_a 6.579
_cell_length_b 6.579
_cell_length_c 9.271
_cell_angle_alpha 104.35
_cell_angle_beta 104.35
_cell_angle_gamma 93.01
_space_group_name_H-M_alt 'P 1'
_space_group_IT_number 1
loop_
_space_group_symop_operation_xyz
'x,y,z'
loop_
_atom_site_label
_atom_site_type_symbol
_atom_site_fract_x
_atom_site_fract_y
_atom_site_fract_z
_atom_site_occupancy
Ca1 Ca 0.060 0.940 0.750 1
Ca2 Ca 0.940 0.060 0.250 1
Pd1 Pd 0.000 0.500 0.000 1
Pd2 Pd 0.500 0.000 0.500 1
Cl1 Cl 0.202 0.224 0.044 1
Cl2 Cl 0.220 0.614 0.867 1
Cl3 Cl 0.224 0.202 0.544 1
Cl4 Cl 0.232 0.768 0.250 1
Cl5 Cl 0.386 0.780 0.633 1
Cl6 Cl 0.614 0.220 0.367 1
Cl7 Cl 0.768 0.232 0.750 1
Cl8 Cl 0.776 0.798 0.456 1
Cl9 Cl 0.780 0.386 0.133 1
Cl10 Cl 0.798 0.776 0.956 1